DFT (PBE with a Hubbard U) results for UCo2BiO8 after structural relaxation.

extended XYZ file:
```
12
Lattice="-3.5051 3.5051 3.2927 3.5051 -3.5051 3.2927 3.5051 3.5051 -3.2927" Properties=species:S:1:pos:R:3 pbc="T T T"
U 0.0000 0.0000 0.0000
Co 0.0000 0.0000 3.2927
Co 0.0000 3.5051 1.6464
Bi 3.5051 0.0000 1.6464
O 2.3138 3.5051 -1.2917
O 1.1912 0.0000 2.0010
O 0.0000 2.1092 0.4183
O 3.5051 2.3138 1.2917
O 0.0000 4.9009 0.4183
O 0.0000 1.1912 4.5844
O -1.3959 3.5051 2.8744
O 1.3959 3.5051 2.8744
```

Calculated values
- Calculated total energy: -83.49 eV for the cell shown
- Volume: 161.8 Å³/f.u.
- ρ: 7.1 g cm⁻³
- SG: I-4m2 (119)